one | This record from Alexandria describes BiTeO2 after structural relaxation. The functional is GGA-PBEsol. Values from VASP.

The structure in Quantum ESPRESSO input format:
```
&SYSTEM
  ibrav = 0, nat = 4, ntyp = 3
/
ATOMIC_SPECIES
Te 127.60 Te.upf
O 16.00 O.upf
Bi 208.98 Bi.upf
ATOMIC_POSITIONS angstrom
Te 0.000 0.000 0.000
O 2.742 -0.711 7.636
O 0.914 -0.237 2.545
Bi 1.828 -0.474 5.091
CELL_PARAMETERS angstrom
-1.059 -1.225 4.127
3.040 -1.925 2.590
1.675 2.201 3.465
```

Properties
- V: 15.40 Å³/atom
- SG: Fm-3m (225)


two | This record from Alexandria describes BiTeO2 after structural relaxation. The functional is GGA-PBEsol. Values from VASP.

The structure in Quantum ESPRESSO input format:
```
&SYSTEM
  ibrav = 0, nat = 4, ntyp = 3
/
ATOMIC_SPECIES
Bi 208.98 Bi.upf
Te 127.60 Te.upf
O 16.00 O.upf
ATOMIC_POSITIONS angstrom
Bi 3.650 2.108 3.346
Te 0.000 0.000 0.000
O 5.476 3.161 2.211
O 1.825 1.054 4.482
CELL_PARAMETERS angstrom
3.650 0.000 0.000
1.825 3.161 0.000
1.825 1.054 6.693
```

Properties
- V: 19.31 Å³/atom
- SG: R-3m (166)


Q: Which of them is the most stable? A: two.


one | This record from Alexandria describes TiBi2O5 after structural relaxation. The functional is GGA-PBEsol. Values from VASP.

The structure in Quantum ESPRESSO input format:
```
&SYSTEM
  ibrav = 0, nat = 16, ntyp = 3
/
ATOMIC_SPECIES
O 16.00 O.upf
Bi 208.98 Bi.upf
Ti 47.87 Ti.upf
ATOMIC_POSITIONS angstrom
O 4.608 -0.863 6.343
O 1.871 3.646 1.503
O 2.802 2.715 3.958
O 5.135 5.026 0.000
O 2.397 0.540 0.000
O 0.065 2.851 3.958
O 4.608 1.920 1.503
O 2.802 -0.068 3.888
O 0.065 0.068 3.888
O 1.871 0.863 6.343
Bi 4.055 3.976 2.660
Bi 1.317 -1.192 5.186
Bi 1.317 1.591 2.660
Bi 4.055 1.192 5.186
Ti 1.449 4.518 0.000
Ti 4.186 1.049 0.000
CELL_PARAMETERS angstrom
5.474 0.000 0.000
0.000 5.567 0.000
0.000 -2.783 7.846
```

Properties
- V: 14.94 Å³/atom
- SG: Cmc2_1 (36)


two | This record from Alexandria describes TiBi2O5 after structural relaxation. The functional is GGA-PBEsol. Values from VASP.

The structure in Quantum ESPRESSO input format:
```
&SYSTEM
  ibrav = 0, nat = 16, ntyp = 3
/
ATOMIC_SPECIES
Ti 47.87 Ti.upf
O 16.00 O.upf
Bi 208.98 Bi.upf
ATOMIC_POSITIONS angstrom
Ti 2.002 4.120 2.553
Ti 0.000 1.995 7.660
O 0.000 0.751 6.315
O 2.002 5.364 3.899
O 0.000 3.373 9.348
O 0.000 3.605 2.553
O 0.000 3.373 5.972
O 2.002 2.510 7.660
O 2.002 2.742 0.865
O 0.000 0.751 9.006
O 2.002 5.364 1.208
O 2.002 2.742 4.242
Bi 0.000 1.741 0.777
Bi 2.002 4.374 5.884
Bi 2.002 4.374 9.437
Bi 0.000 1.741 4.330
CELL_PARAMETERS angstrom
4.005 0.000 0.000
-2.002 6.115 0.000
0.000 0.000 10.214
```

Properties
- V: 15.63 Å³/atom
- SG: Cmcm (63)


Q: Which of them is the most stable? A: one.